# Ba2TlAg4Pb3

A relaxed Ba2TlAg4Pb3 crystal (GGA-PBE, the Alexandria database).

Results
As for the formation enthalpy at 0 K: -237 meV per atom. The calculation puts the volume at 294.7 Å³ per cell. As for the total energy: -31.1 eV/cell.

Cell lengths 4.954, 4.954, 12.007 Å; angles 90.00, 90.00, 90.00 degrees
Space group P-4m2 (No. 115)
One atom of each set of equivalent atoms:
Ba1 0.000 0.500 0.242 (multiplicity 2)
Tl1 0.000 0.000 0.500 (multiplicity 1)
Ag1 0.000 0.000 0.000 (multiplicity 1)
Ag2 0.000 0.500 0.636 (multiplicity 2)
Ag3 0.500 0.500 0.000 (multiplicity 1)
Pb1 0.000 0.500 0.873 (multiplicity 2)
Pb2 0.500 0.500 0.500 (multiplicity 1)